VASP calculation (PBE) on a relaxed Ti2TlGaTc crystal.

Results
DOS(E_F)   7.3 states/eV/f.u.
Calculated volume   123.7 Å³/cell
Calculated density   6.279 g/cm³
Energy of formation from the pure elements   1.600 eV/atom

a = 4.9832 Å, b = 4.9832 Å, c = 4.9822 Å
α = 90.00°, β = 90.00°, γ = 90.00°
Last column: nearest neighbours and their distance in Å.
Fractional coordinates of all 5 atoms:
Ti 0.0000 0.5000 0.0000  2 Tl 2.49
Ti 0.5000 0.0000 0.0000  2 Tl 2.49
Tl 0.0000 0.0000 0.0000  2 Tc 2.49, 4 Ti 2.49
Ga 0.5000 0.5000 0.5000  8 Ti 3.52, 4 Tc 3.52
Tc 0.0000 0.0000 0.5000  2 Tl 2.49